Version i
Density functional theory data (PBE) for a relaxed structure of HRu2S.

Lattice parameters (Å, degrees): 3.955 3.955 3.955 60.00 60.00 60.00
Element x y z (fractional)
S 0.500 0.500 0.500
H 0.000 0.000 0.000
Ru 0.250 0.250 0.250
Ru 0.750 0.750 0.750

Values from the calculation:
D(E_F)	0.70	states/eV/atom
magnetic moment	0.00	μB/atom
V	43.7	Å³/cell
SG	Fm-3m, No. 225

Version ii
Density functional theory data (PBE) for a relaxed structure of HRu2S.

Lattice parameters (Å, degrees): 4.733 4.733 5.552 64.77 64.77 90.00
Element x y z (fractional)
Ru 0.875 0.799 0.750
Ru 0.375 0.451 0.750
S 0.750 0.250 0.500
H 0.250 0.750 0.500
Ru 0.549 0.125 0.250
S 0.000 0.000 0.000
Ru 0.201 0.625 0.250
H 0.500 0.500 0.000

Values from the calculation:
D(E_F)	0.69	states/eV/atom
magnetic moment	0.00	μB/atom
V	99.2	Å³/cell
SG	I-42d, No. 122

Stability summary: most stable version ii, least stable version i.